## LiCo2Os (PBE)

Data for crystalline LiCo2Os at its relaxed geometry.

The energy of formation comes out at 269 meV/atom. As for the crystal system: orthorhombic.

The space group is Cmm2 (No. 35) and the conventional cell measures 2.698, 4.355 and 8.708 Å, with angles of 90.00, 90.00 and 90.00 degrees. The inequivalent atoms are Li at (0.000, 0.000, 0.000), Co at (0.000, 0.000, 0.518), Co at (0.000, 0.500, 0.745) and Os at (0.000, 0.500, 0.265).



## LiCoP2Os (PBE)

Data for crystalline LiCoP2Os at its relaxed geometry.

The energy of formation comes out at -522 meV/atom. As for the crystal system: tetragonal.

The space group is I-4m2 (No. 119) and the conventional cell measures 3.875, 3.875 and 9.317 Å, with angles of 90.00, 90.00 and 90.00 degrees. The inequivalent atoms are Li at (0.000, 0.000, 0.000), Co at (0.000, 0.500, 0.250), P at (0.000, 0.000, 0.378) and Os at (0.000, 0.500, 0.750).



It is found that the uncorrected energy values, taken in the order of the records, are -6.57; -6.74 eV per atom.